KHfGa: relaxed, PBE.

Cell lengths 4.692, 4.692, 11.819 Å; angles 78.93, 78.80, 60.70 degrees
Space group P1 (No. 1)
Symmetry-distinct sites (fractional):
K  0.000  0.000  0.000 (multiplicity 1)
K  0.209  0.202  0.371 (multiplicity 1)
Hf  0.095  0.095  0.685 (multiplicity 1)
Hf  0.437  0.436  0.685 (multiplicity 1)
Ga  0.729  0.730  0.797 (multiplicity 1)
Ga  0.803  0.801  0.574 (multiplicity 1)

Calculated values
**Excess energy over the best structure of this formula in the dataset**: 205.4 meV/atom
**Total magnetic moment**: 0.00 μB per formula unit